[1]
Below is a relaxed NaGd2Cd crystal, with properties calculated at the PBE level.

Properties
Energy above the most stable polymorph in this dataset, meV/atom: 13
Calculated formation energy, eV/atom: -0.005

Cell lengths 5.436, 5.436, 5.436 Å; angles 60.00, 60.00, 60.00 degrees
Site moments in Bohr magnetons follow the coordinates.
Element x y z (fractional)
1 Na 0.000 0.000 0.000  0.01
2 Gd 0.250 0.250 0.250  7.25
3 Gd 0.750 0.750 0.750  7.25
4 Cd 0.500 0.500 0.500  0.00

---

[2]
Below is a relaxed Y7O6F9 crystal, with properties calculated at the PBE level.

Properties
Energy above the most stable polymorph in this dataset, meV/atom: 0
Formation energy without anion corrections, eV/atom: -3.903

Cell lengths 5.496, 5.605, 19.710 Å; angles 98.17, 90.06, 90.00 degrees
Element x y z (fractional)
1 Y 0.299 0.327 0.213
2 Y 0.701 0.114 0.787
3 Y 0.703 0.832 0.212
4 Y 0.297 0.619 0.788
5 Y 0.709 0.457 0.353
6 Y 0.291 0.104 0.647
7 Y 0.289 0.931 0.353
8 Y 0.711 0.578 0.647
9 Y 0.277 0.454 0.499
10 Y 0.723 0.955 0.501
11 Y 0.706 0.292 0.071
12 Y 0.294 0.220 0.929
13 Y 0.293 0.790 0.071
14 Y 0.707 0.719 0.929
15 O 0.481 0.550 0.144
16 O 0.519 0.406 0.856
17 O 0.518 0.050 0.144
18 O 0.482 0.906 0.856
19 O 0.500 0.018 0.000
20 O 0.500 0.519 0.000
21 O 0.473 0.645 0.287
22 O 0.527 0.359 0.713
23 O 0.529 0.147 0.290
24 O 0.471 0.857 0.710
25 O 0.464 0.700 0.432
26 O 0.536 0.267 0.568
27 F 0.031 0.156 0.131
28 F 0.969 0.026 0.869
29 F 0.966 0.656 0.130
30 F 0.034 0.526 0.870
31 F 0.951 0.518 0.263
32 F 0.049 0.256 0.737
33 F 0.057 0.010 0.261
34 F 0.943 0.750 0.739
35 F 0.091 0.318 0.389
36 F 0.909 0.929 0.611
37 F 0.909 0.828 0.387
38 F 0.091 0.441 0.613
39 F 0.892 0.586 0.502
40 F 0.108 0.084 0.498
41 F 0.548 0.198 0.429
42 F 0.452 0.769 0.571
43 F 0.000 0.409 0.000
44 F 0.000 0.909 0.000

---

[3]
Below is a relaxed KLaIn2 crystal, with properties calculated at the PBE level.

Properties
Energy above the most stable polymorph in this dataset, meV/atom: 18
Calculated formation energy, eV/atom: -0.230

Cell lengths 4.794, 3.514, 8.887 Å; angles 66.90, 90.00, 90.00 degrees
Element x y z (fractional)
1 In 0.000 0.048 0.954
2 In 0.000 0.452 0.546
3 K 0.500 0.250 0.250
4 La 0.500 0.750 0.750

---

[4]
Below is a relaxed Cu2TePt crystal, with properties calculated at the PBE level.

Properties
Formation energy without anion corrections, eV/atom: 0.076

Cell lengths 3.461, 3.461, 5.435 Å; angles 90.00, 90.00, 90.02 degrees
Element x y z (fractional)
1 Cu 0.000 0.000 0.020
2 Cu 0.000 0.000 0.480
3 Pt 0.500 0.500 0.250
4 Te 0.500 0.500 0.750

---

[5]
Below is a relaxed LiMg4W crystal, with properties calculated at the PBE level.

Properties
Calculated formation energy, eV/atom: 0.675

Cell lengths 5.605, 5.605, 5.605 Å; angles 60.00, 60.00, 60.00 degrees
Site moments in Bohr magnetons follow the coordinates.
Element x y z (fractional)
1 Li 0.000 0.000 0.000  0.00
2 Mg 0.376 0.873 0.376  0.00
3 Mg 0.873 0.376 0.376  0.00
4 Mg 0.376 0.376 0.873  0.00
5 Mg 0.376 0.376 0.376  0.00
6 W 0.750 0.750 0.750  2.13

---

[6]
Below is a relaxed Tb2Nd8Er3 crystal, with properties calculated at the PBE level.

Properties
Calculated formation energy, eV/atom: 0.201

Cell lengths 5.720, 7.721, 10.934 Å; angles 110.68, 90.01, 90.00 degrees
Element x y z (fractional)
1 Tb 0.499 0.240 0.479
2 Tb 0.501 0.760 0.521
3 Nd 0.000 0.673 0.346
4 Nd 0.000 0.327 0.654
5 Nd 0.000 0.130 0.261
6 Nd 0.000 0.870 0.739
7 Nd 0.500 0.599 0.790
8 Nd 0.500 0.190 0.790
9 Nd 0.500 0.810 0.210
10 Nd 0.500 0.401 0.210
11 Er 0.500 0.000 0.000
12 Er 0.000 0.286 0.000
13 Er 0.000 0.714 0.000

---

[7]
Below is a relaxed KPt crystal, with properties calculated at the PBE level.

Properties
Calculated formation energy, eV/atom: 0.519

Cell lengths 6.779, 6.779, 6.283 Å; angles 90.00, 90.00, 90.00 degrees
Element x y z (fractional)
1 K 0.193 0.807 0.000
2 K 0.693 0.693 0.500
3 K 0.307 0.307 0.500
4 K 0.807 0.193 0.000
5 Pt 0.371 0.371 0.000
6 Pt 0.871 0.129 0.500
7 Pt 0.129 0.871 0.500
8 Pt 0.629 0.629 0.000

---

[8]
Below is a relaxed Cs2KRbNa crystal, with properties calculated at the PBE level.

Properties
Energy above the most stable polymorph in this dataset, meV/atom: 101
Calculated formation energy, eV/atom: 0.158

Cell lengths 8.413, 8.413, 7.030 Å; angles 90.00, 90.00, 90.00 degrees
Element x y z (fractional)
1 Cs 0.000 0.500 0.000
2 Cs 0.500 0.000 0.000
3 Na 0.000 0.000 0.500
4 K 0.000 0.000 0.000
5 Rb 0.500 0.500 0.500

---

[9]
Below is a relaxed Sc3Te2C crystal, with properties calculated at the PBE level.

Properties
Energy above the most stable polymorph in this dataset, meV/atom: 51
Formation energy without anion corrections, eV/atom: -0.821

Cell lengths 6.500, 6.878, 6.878 Å; angles 117.20, 100.03, 100.03 degrees
Element x y z (fractional)
1 Sc 0.997 0.261 0.387
2 Sc 0.497 0.387 0.261
3 Sc 0.000 0.500 0.000
4 Sc 0.003 0.739 0.613
5 Sc 0.500 0.000 0.500
6 Sc 0.503 0.613 0.739
7 Te 0.250 0.921 0.079
8 Te 0.250 0.236 0.764
9 Te 0.750 0.079 0.921
10 Te 0.750 0.764 0.236
11 C 0.250 0.567 0.433
12 C 0.750 0.433 0.567

---

[10]
Below is a relaxed PRuO crystal, with properties calculated at the PBE level.

Properties
Energy above the most stable polymorph in this dataset, meV/atom: 222
Formation energy without anion corrections, eV/atom: -0.743

Cell lengths 2.894, 2.918, 8.975 Å; angles 90.00, 90.00, 90.00 degrees
Element x y z (fractional)
1 P 0.500 0.000 0.099
2 P 0.500 0.500 0.599
3 Ru 0.000 0.000 0.730
4 Ru 0.000 0.500 0.230
5 O 0.500 0.000 0.928
6 O 0.500 0.500 0.428

---

[11]
Below is a relaxed CsAsClF6 crystal, with properties calculated at the PBE level.

Properties
Formation energy without anion corrections, eV/atom: -2.016

Cell lengths 6.820, 6.839, 5.322 Å; angles 91.96, 90.16, 50.98 degrees
Site moments in Bohr magnetons follow the coordinates.
Element x y z (fractional)
1 Cs 0.662 0.641 0.821  0.00
2 As 0.331 0.331 0.431  0.00
3 Cl 0.056 0.038 0.162  0.67
4 F 0.066 0.399 0.256  0.08
5 F 0.264 0.198 0.665  0.00
6 F 0.583 0.268 0.608  0.00
7 F 0.117 0.630 0.589  0.01
8 F 0.386 0.465 0.193  0.01
9 F 0.535 0.030 0.275  0.00

---

[12]
Below is a relaxed Nd2TeBr2 crystal, with properties calculated at the PBE level.

Properties
Formation energy without anion corrections, eV/atom: -1.573

Cell lengths 4.356, 4.360, 10.879 Å; angles 90.44, 90.00, 119.97 degrees
Element x y z (fractional)
1 Nd 0.831 0.662 0.335
2 Nd 0.169 0.338 0.665
3 Te 0.500 0.000 0.500
4 Br 0.162 0.324 0.173
5 Br 0.838 0.676 0.827

---

no.,ρ (Mg/m³)
1,6.6
2,4.9
3,4.9
4,11.5
5,3.8
6,7.3
7,5.4
8,1.4
9,5.2
10,6.5
11,3.1
12,5.3